No. 1
VASP calculation (GGA-PBEsol) on an optimized crystal structure of MnSiSe2.

## Properties
Its symmetry is No. 166. For the uncorrected formation energy, the calculation gives 0.16 eV/atom. Its uncorrected energy is -22.57 eV/cell. The value obtained for the density of states at the Fermi level is 1.8 states/eV/f.u.

Geometry as POSCAR:
```
MnSiSe2
1.0
1.780 1.028 7.579
-1.780 1.028 7.579
0.000 -2.055 7.579
Mn Si Se
1 1 2
direct
0.000 0.000 0.000 Mn
0.500 0.500 0.500 Si
0.104 0.104 0.104 Se
0.896 0.896 0.896 Se
```



No. 2
VASP calculation (GGA-PBEsol) on an optimized crystal structure of MnSiSe2.

## Properties
Its symmetry is No. 47. For the uncorrected formation energy, the calculation gives 0.21 eV/atom. Its uncorrected energy is -22.36 eV/cell. The value obtained for the density of states at the Fermi level is 2.0 states/eV/f.u.

Geometry as POSCAR:
```
MnSiSe2
1.0
3.565 0.000 0.000
0.000 3.620 0.000
0.000 0.000 6.211
Mn Si Se
1 1 2
direct
0.000 0.000 0.000 Mn
0.000 0.500 0.500 Si
0.500 0.000 0.500 Se
0.500 0.500 0.000 Se
```



No. 3
VASP calculation (GGA-PBEsol) on an optimized crystal structure of MnSiSe2.

## Properties
Its symmetry is No. 71. For the uncorrected formation energy, the calculation gives 0.21 eV/atom. Its uncorrected energy is -22.39 eV/cell. The value obtained for the density of states at the Fermi level is 1.6 states/eV/f.u.

Geometry as POSCAR:
```
MnSiSe2
1.0
-1.774 3.185 3.594
1.774 -3.185 3.594
1.774 3.185 -3.594
Mn Si Se
1 1 2
direct
0.000 0.000 0.000 Mn
0.500 0.500 0.000 Si
0.245 0.745 0.500 Se
0.755 0.255 0.500 Se
```



No. 4
VASP calculation (GGA-PBEsol) on an optimized crystal structure of MnSiSe2.

## Properties
Its symmetry is No. 12. For the uncorrected formation energy, the calculation gives 0.19 eV/atom. Its uncorrected energy is -22.46 eV/cell. The value obtained for the density of states at the Fermi level is 1.9 states/eV/f.u.

Geometry as POSCAR:
```
MnSiSe2
1.0
3.583 -3.543 0.000
3.583 3.543 0.000
-1.736 0.000 3.113
Mn Si Se
1 1 2
direct
0.000 0.000 0.000 Mn
0.500 0.500 0.000 Si
0.000 0.500 0.500 Se
0.500 0.000 0.500 Se
```



No. 5
VASP calculation (GGA-PBEsol) on an optimized crystal structure of SrMnSe2.

## Properties
Its symmetry is No. 99. For the uncorrected formation energy, the calculation gives -0.95 eV/atom. The calculation puts the distance to the lowest polymorph of the same formula at 83 meV/atom. Its uncorrected energy is -23.12 eV/cell. The value obtained for the density of states at the Fermi level is 0.1 states/eV/f.u.

Geometry as POSCAR:
```
SrMnSe2
1.0
4.108 0.000 0.000
0.000 4.108 0.000
0.000 0.000 6.096
Sr Mn Se
1 1 2
direct
0.000 0.000 0.000 Sr
0.500 0.500 0.537 Mn
0.000 0.000 0.493 Se
0.500 0.500 0.949 Se
```



No. 6
VASP calculation (GGA-PBEsol) on an optimized crystal structure of SrMnSe2.

## Properties
Its symmetry is No. 12. For the uncorrected formation energy, the calculation gives -0.70 eV/atom. The calculation puts the distance to the lowest polymorph of the same formula at 342 meV/atom. Its uncorrected energy is -22.08 eV/cell. The value obtained for the density of states at the Fermi level is 1.2 states/eV/f.u.

Geometry as POSCAR:
```
SrMnSe2
1.0
3.534 -3.534 0.000
3.534 3.534 0.000
-0.018 0.000 3.597
Sr Mn Se
1 1 2
direct
0.000 0.000 0.000 Sr
0.500 0.500 0.000 Mn
0.000 0.500 0.500 Se
0.500 0.000 0.500 Se
```